Version A
The following is a DFT calculation (PBE) of an optimized crystal structure of La2BiN.

a = 3.7812 Å, b = 3.7812 Å, c = 8.5559 Å
α = 77.23°, β = 77.23°, γ = 60.00°
Closest atoms and distances in Å follow each position.
Positions (direct):
La (0.2235, 0.2235, 0.3295)  3 N 2.60
N (0.5000, 0.5000, 0.5000)  6 La 2.60
La (0.7765, 0.7765, 0.6705)  3 N 2.60
Bi (0.0000, 0.0000, 0.0000)  6 La 3.49, 6 Bi 3.78

## Properties
D(E_F) in states/eV per cell: 2.91
Spin magnetization in Bohr magnetons per cell: 0.0
Space group: R-3m (166)

***

Version B
The following is a DFT calculation (PBE) of an optimized crystal structure of La2BiN.

a = 5.2898 Å, b = 5.2898 Å, c = 5.2898 Å
α = 60.00°, β = 60.00°, γ = 60.00°
Closest atoms and distances in Å follow each position.
Positions (direct):
La (0.7500, 0.7500, 0.7500)  4 Bi 3.24, 4 N 3.24
Bi (0.5000, 0.5000, 0.5000)  8 La 3.24
N (0.0000, 0.0000, 0.0000)  8 La 3.24
La (0.2500, 0.2500, 0.2500)  4 Bi 3.24, 4 N 3.24

## Properties
D(E_F) in states/eV per cell: 2.12
Spin magnetization in Bohr magnetons per cell: 0.0
Space group: Fm-3m (225)

***

Winner for stability: version A

***

Version A
The following is a DFT calculation (PBE) of an optimized crystal structure of La3Bi2N.

a = 7.2543 Å, b = 8.3953 Å, c = 7.2543 Å
α = 74.00°, β = 69.53°, γ = 74.00°
Closest atoms and distances in Å follow each position.
Positions (direct):
La (0.1806, 0.5490, 0.1066)  1 N 2.23
Bi (0.4720, 0.8315, 0.8408)  6 La 3.35-3.50
Bi (0.8408, 0.3315, 0.4720)  6 La 3.35-3.50
Bi (0.5280, 0.1685, 0.1592)  6 La 3.35-3.50
N (0.0923, 0.2500, 0.9077)  3 La 2.23-2.28
Bi (0.1592, 0.6685, 0.5280)  6 La 3.35-3.50
La (0.8934, 0.9510, 0.8194)  1 N 2.23
La (0.8194, 0.4510, 0.8934)  1 N 2.23
N (0.9077, 0.7500, 0.0923)  3 La 2.23-2.28
La (0.3673, 0.2500, 0.6327)  1 N 2.28
La (0.1066, 0.0490, 0.1806)  1 N 2.23
La (0.6327, 0.7500, 0.3673)  1 N 2.28

## Properties
Spin magnetization in Bohr magnetons per cell: 0.0
Space group: C2/c (15)

***

Version B
The following is a DFT calculation (PBE) of an optimized crystal structure of La3Bi2N.

a = 6.9070 Å, b = 7.3907 Å, c = 7.3907 Å
α = 104.12°, β = 90.00°, γ = 90.00°
Closest atoms and distances in Å follow each position.
Positions (direct):
La (0.7614, 0.6647, 0.6647)  1 N 2.31
Bi (0.2613, 0.5337, 0.8339)  5 La 3.34-3.62, 1 Bi 3.50
N (0.7613, 0.9185, 0.9185)  5 La 2.31-2.58
N (0.2613, 0.0815, 0.0815)  5 La 2.31-2.58
La (0.5113, 0.8489, 0.1510)  2 N 2.58
Bi (0.7613, 0.4663, 0.1661)  5 La 3.34-3.62, 1 Bi 3.50
Bi (0.2613, 0.8339, 0.5337)  5 La 3.34-3.62, 1 Bi 3.50
La (0.0113, 0.1511, 0.8490)  2 N 2.58
La (0.0113, 0.8490, 0.1511)  2 N 2.58
La (0.2614, 0.3353, 0.3353)  1 N 2.31
La (0.5113, 0.1510, 0.8489)  2 N 2.58
Bi (0.7613, 0.1661, 0.4663)  5 La 3.34-3.62, 1 Bi 3.50

## Properties
D(E_F) in states/eV per cell: 5.83
Spin magnetization in Bohr magnetons per cell: 0.0
Space group: Cmcm (63)

***

Winner for stability: version A

***

Version A
The following is a DFT calculation (PBE) of an optimized crystal structure of LaBiSN2.

a = 4.3438 Å, b = 4.3438 Å, c = 5.2308 Å
α = 90.00°, β = 90.00°, γ = 90.00°
Closest atoms and distances in Å follow each position.
Positions (direct):
Bi (0.0000, 0.0000, 0.0000)  4 N 2.17
N (0.0000, 0.5000, 0.0000)  2 Bi 2.17
N (0.5000, 0.0000, 0.0000)  2 Bi 2.17
S (0.0000, 0.0000, 0.5000)  2 Bi 2.62
La (0.5000, 0.5000, 0.5000)  4 S 3.07, 8 N 3.40

## Properties
D(E_F) in states/eV per cell: 0.83
Spin magnetization in Bohr magnetons per cell: 0.0
Space group: P4/mmm (123)

***

Version B
The following is a DFT calculation (PBE) of an optimized crystal structure of LaBiSN2.

a = 4.2904 Å, b = 4.2904 Å, c = 5.7940 Å
α = 90.00°, β = 90.00°, γ = 90.00°
Closest atoms and distances in Å follow each position.
Positions (direct):
La (0.0000, 0.0000, 0.0000)  4 N 2.15
S (0.0000, 0.0000, 0.5000)  2 La 2.90, 4 Bi 3.03
N (0.5000, 0.0000, 0.0000)  2 La 2.15
Bi (0.5000, 0.5000, 0.5000)  4 S 3.03
N (0.0000, 0.5000, 0.0000)  2 La 2.15

## Properties
D(E_F) in states/eV per cell: 2.73
Spin magnetization in Bohr magnetons per cell: 0.1
Space group: P4/mmm (123)

***

Winner for stability: version A

***

Version A
The following is a DFT calculation (PBE) of an optimized crystal structure of LaBiSeN2.

a = 4.3689 Å, b = 4.3689 Å, c = 6.0674 Å
α = 90.00°, β = 90.00°, γ = 90.00°
Closest atoms and distances in Å follow each position.
Positions (direct):
La (0.0000, 0.0000, 0.0000)  4 N 2.18
Se (0.0000, 0.0000, 0.5000)  2 La 3.03, 4 Bi 3.09
N (0.0000, 0.5000, 0.0000)  2 La 2.18
N (0.5000, 0.0000, 0.0000)  2 La 2.18
Bi (0.5000, 0.5000, 0.5000)  4 Se 3.09

## Properties
D(E_F) in states/eV per cell: 1.98
Spin magnetization in Bohr magnetons per cell: 0.0
Space group: P4/mmm (123)

***

Version B
The following is a DFT calculation (PBE) of an optimized crystal structure of LaBiSeN2.

a = 4.3909 Å, b = 4.3909 Å, c = 5.4766 Å
α = 90.00°, β = 90.00°, γ = 90.00°
Closest atoms and distances in Å follow each position.
Positions (direct):
Se (0.0000, 0.0000, 0.5000)  2 Bi 2.74
N (0.5000, 0.0000, 0.0000)  2 Bi 2.20
Bi (0.0000, 0.0000, 0.0000)  4 N 2.20
La (0.5000, 0.5000, 0.5000)  4 Se 3.10
N (0.0000, 0.5000, 0.0000)  2 Bi 2.20

## Properties
D(E_F) in states/eV per cell: 1.24
Spin magnetization in Bohr magnetons per cell: 0.0
Space group: P4/mmm (123)

***

Winner for stability: version B

***

Version A
The following is a DFT calculation (PBE) of an optimized crystal structure of NaLaBi2.

a = 8.7012 Å, b = 8.7012 Å, c = 7.0475 Å
α = 51.88°, β = 51.88°, γ = 90.00°
Closest atoms and distances in Å follow each position.
Positions (direct):
La (0.0000, 0.0000, 0.0000)  4 Bi 3.32, 2 Na 3.44
La (0.7500, 0.2500, 0.5000)  4 Bi 3.32, 2 Na 3.44
Bi (0.1451, 0.6250, 0.2500)  2 Na 3.08, 2 La 3.32
Bi (0.3750, 0.3951, 0.7500)  2 Na 3.08, 2 La 3.32
Na (0.2500, 0.7500, 0.5000)  4 Bi 3.08, 2 La 3.44
Bi (0.8750, 0.8549, 0.7500)  2 Na 3.08, 2 La 3.32
Na (0.5000, 0.5000, 0.0000)  4 Bi 3.08, 2 La 3.44
Bi (0.6049, 0.1250, 0.2500)  2 Na 3.08, 2 La 3.32

## Properties
D(E_F) in states/eV per cell: 0.15
Spin magnetization in Bohr magnetons per cell: 0.0
Space group: I-42d (122)

***

Version B
The following is a DFT calculation (PBE) of an optimized crystal structure of NaLaBi2.

a = 4.6000 Å, b = 4.6000 Å, c = 12.1178 Å
α = 90.00°, β = 90.00°, γ = 90.00°
Closest atoms and distances in Å follow each position.
Positions (direct):
Bi (0.0000, 0.5000, 0.8063)  4 Na 3.29, 4 La 3.42
Bi (0.5000, 0.0000, 0.1937)  4 Na 3.29, 4 La 3.42
La (0.5000, 0.0000, 0.7195)  8 Bi 3.42-3.52
Na (0.0000, 0.0000, 0.0000)  4 Na 3.25, 4 Bi 3.29
La (0.0000, 0.5000, 0.2805)  8 Bi 3.42-3.52
Na (0.5000, 0.5000, 0.0000)  4 Na 3.25, 4 Bi 3.29
Bi (0.0000, 0.0000, 0.5000)  4 Bi 3.25, 4 La 3.52
Bi (0.5000, 0.5000, 0.5000)  4 Bi 3.25, 4 La 3.52

## Properties
D(E_F) in states/eV per cell: 5.44
Spin magnetization in Bohr magnetons per cell: 0.0
Space group: P4/nmm (129)

***

Winner for stability: version B